(1)
The following is a DFT calculation (PBE) of a geometry-optimized Pr3Dy6Ho2Th structure.

Lattice parameters (Å, degrees): 6.2156 6.2156 11.8621 95.02 95.02 119.97
With the nearest neighbours (Å) after each atom.
Positions (direct):
Pr  0.0000  0.0000  0.0000  6 Pr 3.58-3.59, 6 Dy 3.62-3.64
Pr  0.3330  0.6670  0.0000  6 Pr 3.58-3.60, 6 Dy 3.62-3.64
Pr  0.6670  0.3330  0.0000  6 Pr 3.58-3.60, 6 Dy 3.62-3.64
Dy  0.0879  0.4179  0.2549  1 Th 3.52, 2 Ho 3.54, 6 Dy 3.55-3.61, 3 Pr 3.62-3.64
Dy  0.2522  0.2522  0.7453  1 Th 3.52, 2 Ho 3.54, 6 Dy 3.55-3.61, 3 Pr 3.62-3.64
Dy  0.4179  0.0879  0.2549  1 Th 3.52, 2 Ho 3.54, 6 Dy 3.55-3.61, 3 Pr 3.62-3.64
Dy  0.5821  0.9121  0.7451  1 Th 3.52, 2 Ho 3.54, 6 Dy 3.55-3.61, 3 Pr 3.62-3.64
Dy  0.7478  0.7478  0.2547  1 Th 3.52, 2 Ho 3.54, 6 Dy 3.55-3.61, 3 Pr 3.62-3.64
Dy  0.9121  0.5821  0.7451  1 Th 3.52, 2 Ho 3.54, 6 Dy 3.55-3.61, 3 Pr 3.62-3.64
Ho  0.1667  0.8333  0.5000  6 Dy 3.54, 3 Th 3.59, 3 Ho 3.59
Ho  0.8333  0.1667  0.5000  6 Dy 3.54, 3 Th 3.59, 3 Ho 3.59
Th  0.5000  0.5000  0.5000  6 Dy 3.52, 6 Ho 3.59

Output
total energy	-58.27	eV for the cell shown
V	32.6	A^3/atom
formation energy	21	meV/atom
density of states at the Fermi level	1.3133	states/eV/atom
magnetic moment	0.0	Bohr magnetons per cell

***

(2)
The following is a DFT calculation (PBE) of a geometry-optimized CaNiAg3 structure.

Lattice parameters (Å, degrees): 4.8635 4.8635 4.8635 90.00 90.00 90.00
With the nearest neighbours (Å) after each atom.
Positions (direct):
Ca  0.0000  0.0000  0.0000  12 Ag 3.44
Ni  0.5000  0.5000  0.5000  6 Ag 2.43
Ag  0.0000  0.5000  0.5000  2 Ni 2.43
Ag  0.5000  0.0000  0.5000  2 Ni 2.43
Ag  0.5000  0.5000  0.0000  2 Ni 2.43

Output
total energy	-15.39	eV for the cell shown
V	23.0	A^3/atom
formation energy	189	meV/atom
density of states at the Fermi level	0.4242	states/eV/atom
magnetic moment	0.0	Bohr magnetons per cell

***

(3)
The following is a DFT calculation (PBE) of a geometry-optimized ZrTaI2 structure.

Lattice parameters (Å, degrees): 4.9734 4.9734 4.9734 60.00 60.00 60.00
With the nearest neighbours (Å) after each atom.
Positions (direct):
Zr  0.0000  0.0000  0.0000  8 I 3.05
Ta  0.5000  0.5000  0.5000  8 I 3.05
I  0.2500  0.2500  0.2500  4 Zr 3.05, 4 Ta 3.05
I  0.7500  0.7500  0.7500  4 Zr 3.05, 4 Ta 3.05

Output
total energy	-21.24	eV for the cell shown
V	21.7	A^3/atom
density of states at the Fermi level	1.4395	states/eV/atom
E_form (uncorrected)	0.57	eV/atom
magnetic moment	0.0	Bohr magnetons per cell

***

(4)
The following is a DFT calculation (PBE) of a geometry-optimized MnCrAg2 structure.

Lattice parameters (Å, degrees): 4.9524 4.9524 4.9524 132.46 132.46 69.50
With the nearest neighbours (Å) after each atom.
Positions (direct):
Mn  0.0000  0.0000  0.0000  8 Ag 2.82-2.85, 4 Cr 2.85
Cr  0.7500  0.2500  0.5000  8 Ag 2.82-2.85, 4 Mn 2.85
Ag  0.2500  0.7500  0.5000  4 Cr 2.82, 4 Mn 2.85, 4 Ag 2.85
Ag  0.5000  0.5000  0.0000  4 Mn 2.82, 4 Cr 2.85, 4 Ag 2.85

Output
total energy	-23.32	eV for the cell shown
V	16.2	A^3/atom
formation energy	294	meV/atom
density of states at the Fermi level	0.5387	states/eV/atom
magnetic moment	0.0	Bohr magnetons per cell

***

(5)
The following is a DFT calculation (PBE) of a geometry-optimized NaErCd6 structure.

Lattice parameters (Å, degrees): 5.0366 6.5496 6.5496 60.35 90.00 90.00
With the nearest neighbours (Å) after each atom.
Positions (direct):
Na  0.0000  0.0000  0.0000  12 Cd 3.18-3.29
Er  0.5000  0.6707  0.6707  12 Cd 3.17-3.29
Cd  0.0000  0.0083  0.4975  8 Cd 3.13-3.36, 2 Er 3.17, 2 Na 3.26-3.29
Cd  0.0000  0.4975  0.0083  8 Cd 3.13-3.36, 2 Er 3.17, 2 Na 3.26-3.29
Cd  0.0000  0.5008  0.5008  8 Cd 3.13-3.31, 2 Er 3.17, 2 Na 3.29
Cd  0.5000  0.1715  0.1715  8 Cd 3.13-3.34, 2 Na 3.18, 2 Er 3.29
Cd  0.5000  0.1752  0.6602  8 Cd 3.13-3.39, 2 Na 3.18, 2 Er 3.27-3.28
Cd  0.5000  0.6602  0.1752  8 Cd 3.13-3.39, 2 Na 3.18, 2 Er 3.27-3.28

Output
total energy	-12.72	eV for the cell shown
V	23.5	A^3/atom
formation energy	-169	meV/atom
density of states at the Fermi level	0.4009	states/eV/atom
magnetic moment	0.0	Bohr magnetons per cell

***

(6)
The following is a DFT calculation (PBE) of a geometry-optimized SrCa2P structure.

Lattice parameters (Å, degrees): 8.1906 8.1906 8.1906 153.44 146.56 43.20
With the nearest neighbours (Å) after each atom.
Positions (direct):
Sr  0.0000  0.0000  0.0000  2 P 3.18, 2 Ca 3.47
Ca  0.3207  0.3207  0.0000  2 P 2.99, 2 Ca 3.32
Ca  0.6671  0.1671  0.5000  4 P 3.02, 2 Ca 3.32
P  0.1685  0.6685  0.5000  6 Ca 2.99-3.02, 2 Sr 3.18

Output
total energy	-13.23	eV for the cell shown
V	33.8	A^3/atom
formation energy	-535	meV/atom
density of states at the Fermi level	0.6649	states/eV/atom
magnetic moment	0.0	Bohr magnetons per cell

***

(7)
The following is a DFT calculation (PBE) of a geometry-optimized LiPtO3 structure.

Lattice parameters (Å, degrees): 6.4845 6.4845 5.4150 101.72 101.72 79.84
With the nearest neighbours (Å) after each atom.
Positions (direct):
Li  0.0056  0.9944  0.7500  4 O 2.02-2.12
Li  0.2942  0.7058  0.7500  6 O 2.00-2.08
Li  0.7058  0.2942  0.2500  6 O 2.00-2.08
Li  0.9944  0.0056  0.2500  4 O 2.02-2.12
Pt  0.2010  0.5181  0.2187  5 O 1.92-2.05
Pt  0.4819  0.7990  0.2813  5 O 1.92-2.05
Pt  0.5181  0.2010  0.7187  5 O 1.92-2.05
Pt  0.7990  0.4819  0.7813  5 O 1.92-2.05
O  0.0529  0.6474  0.9145  2 Pt 1.99-2.05, 1 Li 2.07
O  0.0614  0.7533  0.4317  1 Pt 1.92, 3 Li 2.02-2.12
O  0.2467  0.9386  0.0683  1 Pt 1.92, 3 Li 2.02-2.12
O  0.3075  0.4102  0.5501  2 Pt 1.97-2.01, 1 Li 2.00
O  0.3526  0.9471  0.5855  2 Pt 1.99-2.05, 1 Li 2.07
O  0.4102  0.3075  0.0501  2 Pt 1.97-2.01, 1 Li 2.00
O  0.5898  0.6925  0.9499  2 Pt 1.97-2.01, 1 Li 2.00
O  0.6474  0.0529  0.4145  2 Pt 1.99-2.05, 1 Li 2.07
O  0.6925  0.5898  0.4499  2 Pt 1.97-2.01, 1 Li 2.00
O  0.7533  0.0614  0.9317  1 Pt 1.92, 3 Li 2.02-2.12
O  0.9386  0.2467  0.5683  1 Pt 1.92, 3 Li 2.02-2.12
O  0.9471  0.3526  0.0855  2 Pt 1.99-2.05, 1 Li 2.07

Output
total energy	-103.92	eV for the cell shown
V	10.8	A^3/atom
density of states at the Fermi level	0.8260	states/eV/atom
E_form (uncorrected)	-0.63	eV/atom
magnetic moment	0.1	Bohr magnetons per cell

***

(8)
The following is a DFT calculation (PBE) of a geometry-optimized Ag3P structure.

Lattice parameters (Å, degrees): 4.9768 4.9768 2.9824 90.00 90.00 109.19
With the nearest neighbours (Å) after each atom.
Positions (direct):
Ag  0.0000  0.0000  0.0000  2 P 2.88, 10 Ag 2.90-2.98
Ag  0.0000  0.5000  0.5000  8 Ag 2.88-2.98, 4 P 2.90
Ag  0.5000  0.0000  0.5000  8 Ag 2.88-2.98, 4 P 2.90
P  0.5000  0.5000  0.0000  10 Ag 2.88-2.90, 2 P 2.98

Output
total energy	-12.95	eV for the cell shown
V	17.4	A^3/atom
formation energy	254	meV/atom
density of states at the Fermi level	0.2602	states/eV/atom
magnetic moment	0.0	Bohr magnetons per cell

***

(9)
The following is a DFT calculation (PBE) of a geometry-optimized Ga3CuGe structure.

Lattice parameters (Å, degrees): 4.6862 4.6862 4.6862 90.00 90.00 90.00
With the nearest neighbours (Å) after each atom.
Positions (direct):
Ga  0.0000  0.0000  0.5000  2 Cu 2.34
Ga  0.0000  0.5000  0.0000  2 Cu 2.34
Ga  0.5000  0.0000  0.0000  2 Cu 2.34
Cu  0.0000  0.0000  0.0000  6 Ga 2.34
Ge  0.5000  0.5000  0.5000  12 Ga 3.31

Output
total energy	-16.34	eV for the cell shown
V	20.6	A^3/atom
formation energy	291	meV/atom
density of states at the Fermi level	0.6702	states/eV/atom
magnetic moment	0.0	Bohr magnetons per cell

***

(10)
The following is a DFT calculation (PBE) of a geometry-optimized Ho8IrPt2 structure.

Lattice parameters (Å, degrees): 8.9823 8.9823 6.7358 104.76 104.76 32.16
With the nearest neighbours (Å) after each atom.
Positions (direct):
Ho  0.0327  0.0327  0.2909  1 Pt 2.87, 2 Ir 2.99
Ho  0.2052  0.2052  0.8164  3 Pt 2.80-3.13
Ho  0.3352  0.3352  0.5307  3 Pt 2.82-3.10, 1 Ir 2.91
Ho  0.4094  0.4094  0.0581  1 Ir 2.97, 2 Pt 3.30
Ho  0.5906  0.5906  0.9419  1 Ir 2.97, 2 Pt 3.30
Ho  0.6648  0.6648  0.4693  3 Pt 2.82-3.10, 1 Ir 2.91
Ho  0.7948  0.7948  0.1836  3 Pt 2.80-3.13
Ho  0.9673  0.9673  0.7091  1 Pt 2.87, 2 Ir 2.99
Ir  0.5000  0.5000  0.5000  8 Ho 2.91-2.99
Pt  0.1890  0.1890  0.2185  7 Ho 2.80-3.13
Pt  0.8110  0.8110  0.7815  7 Ho 2.80-3.13

Output
total energy	-65.15	eV for the cell shown
V	25.4	A^3/atom
formation energy	-690	meV/atom
density of states at the Fermi level	1.0833	states/eV/atom
magnetic moment	0.0	Bohr magnetons per cell

***

(11)
The following is a DFT calculation (PBE) of a geometry-optimized Ta2CrP structure.

Lattice parameters (Å, degrees): 4.8140 4.8140 4.4216 108.33 108.33 38.44
With the nearest neighbours (Å) after each atom.
Positions (direct):
Ta  0.0000  0.0000  0.0000  4 P 2.71-2.75, 3 Cr 2.76-2.79, 3 Ta 2.81-2.86
Ta  0.2290  0.2290  0.7028  4 Cr 2.60-2.87, 3 P 2.68-2.72, 3 Ta 2.81-2.86
Cr  0.7600  0.7600  0.2628  2 P 2.47, 4 Ta 2.60-2.76
P  0.4771  0.4771  0.4900  2 Cr 2.47, 7 Ta 2.68-2.75

Output
total energy	-39.33	eV for the cell shown
V	15.0	A^3/atom
formation energy	-147	meV/atom
density of states at the Fermi level	0.8955	states/eV/atom
magnetic moment	0.0	Bohr magnetons per cell

***

(12)
The following is a DFT calculation (PBE) of a geometry-optimized InSbCl4 structure.

Lattice parameters (Å, degrees): 7.9019 7.9019 8.4102 106.59 106.59 102.99
With the nearest neighbours (Å) after each atom.
Positions (direct):
In  0.1112  0.8888  0.7500  4 Cl 3.02-3.14
In  0.8888  0.1112  0.2500  4 Cl 3.02-3.14
Sb  0.4806  0.5194  0.2500  4 Cl 2.45-2.65
Sb  0.5194  0.4806  0.7500  4 Cl 2.45-2.65
Cl  0.1732  0.2226  0.0713  1 Sb 2.65
Cl  0.2226  0.1732  0.5713  1 Sb 2.65
Cl  0.3324  0.6401  0.4562  1 Sb 2.45
Cl  0.3599  0.6676  0.0438  1 Sb 2.45
Cl  0.6401  0.3324  0.9562  1 Sb 2.45
Cl  0.6676  0.3599  0.5438  1 Sb 2.45
Cl  0.7774  0.8268  0.4287  1 Sb 2.65
Cl  0.8268  0.7774  0.9287  1 Sb 2.65

Output
total energy	-38.69	eV for the cell shown
V	37.9	A^3/atom
density of states at the Fermi level	0.0000	states/eV/atom
E_form (uncorrected)	-0.85	eV/atom
magnetic moment	0.0	Bohr magnetons per cell